Model one:
First-principles (GGA-PBE) data for crystalline Cu2MoRu2 at its relaxed geometry, as listed in Alexandria.

Properties
Space-group type: No. 127
Spin magnetization, μB/atom: 0.000

a = 6.982 Å, b = 6.982 Å, c = 2.877 Å
α = 90.00°, β = 90.00°, γ = 90.00°
Fractional coordinates of all 10 atoms:
Cu1 0.169 0.331 0.000
Cu2 0.331 0.831 0.000
Cu3 0.669 0.169 0.000
Cu4 0.831 0.669 0.000
Mo1 0.000 0.000 0.500
Mo2 0.500 0.500 0.500
Ru1 0.128 0.628 0.500
Ru2 0.372 0.128 0.500
Ru3 0.628 0.872 0.500
Ru4 0.872 0.372 0.500



Model two:
First-principles (GGA-PBE) data for crystalline Cu2MoRu2 at its relaxed geometry, as listed in Alexandria.

Properties
Space-group type: No. 139
Spin magnetization, μB/atom: 0.000

a = 7.437 Å, b = 7.437 Å, c = 7.437 Å
α = 155.13°, β = 155.13°, γ = 35.46°
Fractional coordinates of all 5 atoms:
Cu1 0.250 0.750 0.500
Cu2 0.750 0.250 0.500
Mo1 0.000 0.000 0.000
Ru1 0.401 0.401 0.000
Ru2 0.599 0.599 0.000



Relative calculated energies, zero for the most stable structure, unit kJ/mol of atoms: model one 3.5; model two 0.0.



Model one:
First-principles (GGA-PBE) data for crystalline CuMoRu3 at its relaxed geometry, as listed in Alexandria.

Properties
Space-group type: No. 221
Spin magnetization, μB/atom: 0.000

a = 4.362 Å, b = 4.362 Å, c = 4.362 Å
α = 90.00°, β = 90.00°, γ = 90.00°
Fractional coordinates of all 5 atoms:
Cu1 0.000 0.000 0.000
Mo1 0.500 0.500 0.500
Ru1 0.000 0.000 0.500
Ru2 0.000 0.500 0.000
Ru3 0.500 0.000 0.000



Model two:
First-principles (GGA-PBE) data for crystalline CuMoRu3 at its relaxed geometry, as listed in Alexandria.

Properties
Space-group type: No. 221
Spin magnetization, μB/atom: 0.484

a = 4.643 Å, b = 4.643 Å, c = 4.643 Å
α = 90.00°, β = 90.00°, γ = 90.00°
Fractional coordinates of all 5 atoms:
Cu1 0.000 0.000 0.000
Mo1 0.500 0.500 0.500
Ru1 0.000 0.500 0.500
Ru2 0.500 0.000 0.500
Ru3 0.500 0.500 0.000



Relative calculated energies, zero for the most stable structure, unit kJ/mol of atoms: model one 0.0; model two 9.9.



Model one:
First-principles (GGA-PBE) data for crystalline CuMoS2 at its relaxed geometry, as listed in Alexandria.

Properties
Space-group type: No. 225
Spin magnetization, μB/atom: 0.245

a = 4.293 Å, b = 4.293 Å, c = 4.293 Å
α = 60.00°, β = 60.00°, γ = 60.00°
Fractional coordinates of all 4 atoms:
Cu1 0.000 0.000 0.000
Mo1 0.500 0.500 0.500
S1 0.250 0.250 0.250
S2 0.750 0.750 0.750



Model two:
First-principles (GGA-PBE) data for crystalline CuMoS2 at its relaxed geometry, as listed in Alexandria.

Properties
Space-group type: No. 166
Spin magnetization, μB/atom: 0.000

a = 7.741 Å, b = 7.741 Å, c = 7.741 Å
α = 24.04°, β = 24.04°, γ = 24.04°
Fractional coordinates of all 4 atoms:
Cu1 0.000 0.000 0.000
Mo1 0.500 0.500 0.500
S1 0.097 0.097 0.097
S2 0.903 0.903 0.903



Model three:
First-principles (GGA-PBE) data for crystalline CuMoS2 at its relaxed geometry, as listed in Alexandria.

Properties
Space-group type: No. 122
Spin magnetization, μB/atom: 0.252

a = 6.501 Å, b = 6.501 Å, c = 6.501 Å
α = 131.25°, β = 131.25°, γ = 71.42°
Fractional coordinates of all 8 atoms:
Cu1 0.000 0.000 0.000
Cu2 0.750 0.250 0.500
Mo1 0.250 0.750 0.500
Mo2 0.500 0.500 0.000
S1 0.121 0.625 0.996
S2 0.375 0.371 0.496
S3 0.629 0.125 0.004
S4 0.875 0.879 0.504



Relative calculated energies, zero for the most stable structure, unit kJ/mol of atoms: model one 42.6; model two 0.0; model three 17.4.



Model one:
First-principles (GGA-PBE) data for crystalline CuMoS3 at its relaxed geometry, as listed in Alexandria.

Properties
Space-group type: No. 221
Spin magnetization, μB/atom: 0.503

a = 4.456 Å, b = 4.456 Å, c = 4.456 Å
α = 90.00°, β = 90.00°, γ = 90.00°
Fractional coordinates of all 5 atoms:
Cu1 0.000 0.000 0.000
Mo1 0.500 0.500 0.500
S1 0.000 0.000 0.500
S2 0.000 0.500 0.000
S3 0.500 0.000 0.000



Model two:
First-principles (GGA-PBE) data for crystalline CuMoS3 at its relaxed geometry, as listed in Alexandria.

Properties
Space-group type: No. 221
Spin magnetization, μB/atom: 0.000

a = 4.669 Å, b = 4.669 Å, c = 4.669 Å
α = 90.00°, β = 90.00°, γ = 90.00°
Fractional coordinates of all 5 atoms:
Cu1 0.000 0.000 0.000
Mo1 0.500 0.500 0.500
S1 0.000 0.500 0.500
S2 0.500 0.000 0.500
S3 0.500 0.500 0.000



Relative calculated energies, zero for the most stable structure, unit kJ/mol of atoms: model one 44.1; model two 0.0.



Model one:
First-principles (GGA-PBE) data for crystalline CuSb2Mo at its relaxed geometry, as listed in Alexandria.

Properties
Space-group type: No. 122
Spin magnetization, μB/atom: 0.242

a = 7.260 Å, b = 7.260 Å, c = 7.260 Å
α = 129.79°, β = 129.79°, γ = 73.75°
Fractional coordinates of all 8 atoms:
Cu1 0.000 0.000 0.000
Cu2 0.750 0.250 0.500
Sb1 0.118 0.625 0.993
Sb2 0.375 0.368 0.493
Sb3 0.632 0.125 0.007
Sb4 0.875 0.882 0.507
Mo1 0.250 0.750 0.500
Mo2 0.500 0.500 0.000



Model two:
First-principles (GGA-PBE) data for crystalline CuSb2Mo at its relaxed geometry, as listed in Alexandria.

Properties
Space-group type: No. 216
Spin magnetization, μB/atom: 0.348

a = 4.829 Å, b = 4.829 Å, c = 4.829 Å
α = 60.00°, β = 60.00°, γ = 60.00°
Fractional coordinates of all 4 atoms:
Cu1 0.000 0.000 0.000
Sb1 0.250 0.250 0.250
Sb2 0.500 0.500 0.500
Mo1 0.750 0.750 0.750



Model three:
First-principles (GGA-PBE) data for crystalline CuSb2Mo at its relaxed geometry, as listed in Alexandria.

Properties
Space-group type: No. 166
Spin magnetization, μB/atom: 0.000

a = 8.224 Å, b = 8.224 Å, c = 8.224 Å
α = 23.62°, β = 23.62°, γ = 23.62°
Fractional coordinates of all 4 atoms:
Cu1 0.000 0.000 0.000
Sb1 0.250 0.250 0.250
Sb2 0.750 0.750 0.750
Mo1 0.500 0.500 0.500



Relative calculated energies, zero for the most stable structure, unit kJ/mol of atoms: model one 42.1; model two 52.8; model three 0.0.



Model one:
First-principles (GGA-PBE) data for crystalline CuSb2Mo at its relaxed geometry, as listed in Alexandria.

Properties
Space-group type: No. 38
Spin magnetization, μB/atom: 0.007

a = 4.079 Å, b = 5.552 Å, c = 5.552 Å
α = 37.45°, β = 90.00°, γ = 90.00°
Fractional coordinates of all 4 atoms:
Cu1 0.000 0.000 0.000
Sb1 0.000 0.750 0.750
Sb2 0.500 0.458 0.458
Mo1 0.500 0.169 0.169



Model two:
First-principles (GGA-PBE) data for crystalline CuSb2Mo at its relaxed geometry, as listed in Alexandria.

Properties
Space-group type: No. 160
Spin magnetization, μB/atom: 0.083

a = 10.376 Å, b = 10.376 Å, c = 10.376 Å
α = 17.58°, β = 17.58°, γ = 17.58°
Fractional coordinates of all 4 atoms:
Cu1 0.000 0.000 0.000
Sb1 0.533 0.533 0.533
Sb2 0.733 0.733 0.733
Mo1 0.269 0.269 0.269



Model three:
First-principles (GGA-PBE) data for crystalline CuSb2Mo at its relaxed geometry, as listed in Alexandria.

Properties
Space-group type: No. 123
Spin magnetization, μB/atom: 0.000

a = 3.465 Å, b = 3.465 Å, c = 6.287 Å
α = 90.00°, β = 90.00°, γ = 90.00°
Fractional coordinates of all 4 atoms:
Cu1 0.000 0.000 0.000
Sb1 0.500 0.500 0.256
Sb2 0.500 0.500 0.744
Mo1 0.000 0.000 0.500



Model four:
First-principles (GGA-PBE) data for crystalline CuSb2Mo at its relaxed geometry, as listed in Alexandria.

Properties
Space-group type: No. 12
Spin magnetization, μB/atom: 0.000

a = 4.708 Å, b = 4.708 Å, c = 5.373 Å
α = 98.53°, β = 98.53°, γ = 41.65°
Fractional coordinates of all 4 atoms:
Cu1 0.000 0.000 0.000
Sb1 0.234 0.234 0.735
Sb2 0.766 0.766 0.265
Mo1 0.500 0.500 0.500



Relative calculated energies, zero for the most stable structure, unit kJ/mol of atoms: model one 0.0; model two 31.4; model three 8.7; model four 24.6.